Density functional theory data (PBE-GGA) for a relaxed structure of CaY2Zn.

Calculated values
energy relative to the elements	-0.052	eV per atom
M_tot	0.00	μB per cell
VASP energy	-32.82	eV for the cell shown

a = 3.7399 Å, b = 5.3949 Å, c = 11.5252 Å
α = 90.00°, β = 90.00°, γ = 90.00°
Space group Imm2 (No. 44)
One atom of each set of equivalent atoms:
Ca1 0.0000 0.0000 0.0000
Y1 0.0000 0.0000 0.5851
Y2 0.0000 0.5000 0.7913
Zn1 0.0000 0.5000 0.2860